## P
MnRuPb2 | GGA-PBE | optimized geometry

## Properties
Fermi-level density of states ... 5.4 states/eV/f.u.

The structure in POSCAR format:
```
MnRuPb2
1.0
4.623 0.471 0.566
1.921 -0.660 4.218
2.657 -3.771 0.798
Pb Ru Mn
2 1 1
direct
0.250 0.250 0.250
0.750 0.750 0.750
0.500 0.500 0.500
0.000 0.000 0.000
```


## Q
MnRuPb2 | GGA-PBE | optimized geometry

## Properties
Fermi-level density of states ... 3.6 states/eV/f.u.

The structure in POSCAR format:
```
MnRuPb2
1.0
-2.327 -5.785 2.498
0.412 -4.202 5.224
-3.483 -2.702 5.068
Mn Pb Ru
1 2 1
direct
0.792 0.792 0.792
0.030 0.030 0.030
0.220 0.220 0.220
0.458 0.458 0.458
```


Q wins, 372 meV per atom ahead of the next structure.


## P
MnRuPb2 | GGA-PBE | optimized geometry

## Properties
Fermi-level density of states ... 3.2 states/eV/f.u.

The structure in POSCAR format:
```
MnRuPb2
1.0
4.896 0.000 0.000
2.448 4.240 0.000
2.448 1.413 3.997
Mn Pb Ru
1 2 1
direct
0.500 0.500 0.500
0.000 0.000 0.000
0.250 0.250 0.250
0.750 0.750 0.750
```


## Q
MnRuPb2 | GGA-PBE | optimized geometry

## Properties
Fermi-level density of states ... 2.9 states/eV/f.u.

The structure in POSCAR format:
```
MnRuPb2
1.0
4.279 0.000 0.000
0.000 3.634 0.004
0.000 1.812 5.279
Mn Pb Ru
1 2 1
direct
0.500 0.555 0.765
0.000 0.975 0.924
0.500 0.278 0.319
0.000 0.692 0.492
```


## R
MnRuPb2 | GGA-PBE | optimized geometry

## Properties
Fermi-level density of states ... 3.2 states/eV/f.u.

The structure in POSCAR format:
```
MnRuPb2
1.0
5.576 0.001 0.000
2.564 4.951 0.000
-4.070 -2.476 2.897
Mn Pb Ru
1 2 1
direct
0.750 0.250 0.500
0.000 0.000 0.000
0.250 0.750 0.500
0.500 0.500 0.000
```


Q wins, 180 meV per atom ahead of the next structure.


## P
MnRuPb2 | GGA-PBE | optimized geometry

## Properties
Fermi-level density of states ... 4.2 states/eV/f.u.

The structure in POSCAR format:
```
MnRuPb2
1.0
8.917 0.056 0.033
8.271 3.333 0.033
8.271 1.631 2.907
Mn Pb Ru
1 2 1
direct
0.750 0.750 0.750
0.995 0.995 0.995
0.505 0.505 0.505
0.250 0.250 0.250
```


## Q
MnRuPb2 | GGA-PBE | optimized geometry

## Properties
Fermi-level density of states ... 3.7 states/eV/f.u.

The structure in POSCAR format:
```
MnRuPb2
1.0
-5.497 4.970 -1.828
-3.984 -5.618 -3.292
-6.137 -0.890 0.097
Pb Ru Mn
4 2 2
direct
0.638 0.125 0.250
0.112 0.625 0.250
0.375 0.362 0.750
0.875 0.888 0.750
0.000 0.000 0.000
0.750 0.250 0.500
0.500 0.500 0.000
0.250 0.750 0.500
```


## R
MnRuPb2 | GGA-PBE | optimized geometry

## Properties
Fermi-level density of states ... 4.4 states/eV/f.u.

The structure in POSCAR format:
```
MnRuPb2
1.0
4.897 0.000 0.000
0.000 4.885 0.000
0.000 0.000 3.290
Mn Pb Ru
1 2 1
direct
0.000 0.500 0.500
0.000 0.000 0.000
0.500 0.500 0.000
0.500 0.000 0.500
```


R wins, 25 meV per atom ahead of the next structure.